[1]
TaAl3Bi | PBE | relaxed

Unit cell a=5.271 b=5.271 c=5.271 alpha=90.00 beta=90.00 gamma=90.00
Space group Pm-3m (No. 221)
Inequivalent atoms, fractional coordinates:
Ta1 0.000 0.000 0.000 [1 per cell]
Al1 0.000 0.500 0.500 [3 per cell]
Bi1 0.500 0.500 0.500 [1 per cell]

Crystal system: cubic
Distance to the lowest polymorph of the same formula: 1.0232 eV/atom
Formation energy: 1.827 eV per atom
Raw total energy: -17.83 eV for the cell shown

[2]
ZrTaAl2Bi | PBE | relaxed

Unit cell a=5.114 b=5.114 c=5.099 alpha=90.00 beta=90.00 gamma=90.00
Space group P4/mmm (No. 123)
Inequivalent atoms, fractional coordinates:
Zr1 0.000 0.000 0.000 [1 per cell]
Ta1 0.000 0.000 0.500 [1 per cell]
Al1 0.000 0.500 0.500 [2 per cell]
Bi1 0.500 0.500 0.000 [1 per cell]

Crystal system: tetragonal
Formation energy: 0.750 eV per atom
Raw total energy: -28.02 eV for the cell shown

[3]
Zr2TaAlBi | PBE | relaxed

Unit cell a=5.155 b=5.155 c=5.066 alpha=90.00 beta=90.00 gamma=90.00
Space group P4/mmm (No. 123)
Inequivalent atoms, fractional coordinates:
Zr1 0.000 0.500 0.000 [2 per cell]
Ta1 0.000 0.000 0.000 [1 per cell]
Al1 0.000 0.000 0.500 [1 per cell]
Bi1 0.500 0.500 0.500 [1 per cell]

Crystal system: tetragonal
Formation energy: 0.694 eV per atom
Raw total energy: -33.10 eV for the cell shown

[4]
TbAlBi2 | PBE | relaxed

Unit cell a=4.975 b=4.975 c=4.385 alpha=90.00 beta=90.00 gamma=90.00
Space group P4/mmm (No. 123)
Inequivalent atoms, fractional coordinates:
Tb1 0.000 0.000 0.000 [1 per cell]
Al1 0.500 0.500 0.000 [1 per cell]
Bi1 0.000 0.500 0.500 [2 per cell]

Crystal system: tetragonal
Distance to the lowest polymorph of the same formula: 0.0000 eV/atom
Formation energy: -0.269 eV per atom
Raw total energy: -17.21 eV for the cell shown

[5]
Tb7Al2Bi2 | PBE | relaxed

Unit cell a=9.531 b=11.077 c=6.796 alpha=90.00 beta=90.00 gamma=90.00
Space group Cmmm (No. 65)
Inequivalent atoms, fractional coordinates:
Tb1 0.000 0.000 0.000 [2 per cell]
Tb2 0.000 0.500 0.244 [4 per cell]
Tb3 0.250 0.250 0.252 [8 per cell]
Al1 0.000 0.272 0.000 [4 per cell]
Bi1 0.200 0.000 0.500 [4 per cell]

Crystal system: orthorhombic
Formation energy: -0.134 eV per atom
Raw total energy: -98.26 eV for the cell shown

[6]
TbAlBi2 | PBE | relaxed

Unit cell a=4.9620 b=4.9620 c=24.4668 alpha=90.00 beta=90.00 gamma=120.00
Space group R-3m (No. 166, hexagonal axes)
Inequivalent atoms, fractional coordinates:
Tb1 0.0000 0.0000 0.0000 [3 per cell]
Al1 0.0000 0.0000 0.5000 [3 per cell]
Bi1 0.0000 0.0000 0.3932 [6 per cell]

Crystal system: trigonal
Distance to the lowest polymorph of the same formula: 0.4090 eV/atom
Formation energy: 0.140 eV per atom
Raw total energy: -46.73 eV for the cell shown

[7]
Tb8Al2Bi | PBE | relaxed

Unit cell a=18.874 b=4.989 c=7.142 alpha=90.00 beta=104.10 gamma=90.00
Space group C2/m (No. 12)
Inequivalent atoms, fractional coordinates:
Tb1 0.030 0.000 0.251 [4 per cell]
Tb2 0.099 0.500 0.969 [4 per cell]
Tb3 0.165 0.500 0.462 [4 per cell]
Tb4 0.208 0.000 0.808 [4 per cell]
Al1 0.190 0.000 0.230 [4 per cell]
Bi1 0.000 0.500 0.500 [2 per cell]

Crystal system: monoclinic
Formation energy: -0.232 eV per atom
Raw total energy: -101.91 eV for the cell shown

[8]
Tb2AlBi | PBE | relaxed

Unit cell a=4.2301 b=4.2301 c=23.1382 alpha=90.00 beta=90.00 gamma=120.00
Space group R-3m (No. 166, hexagonal axes)
Inequivalent atoms, fractional coordinates:
Tb1 0.0000 0.0000 0.2503 [6 per cell]
Al1 0.0000 0.0000 0.5000 [3 per cell]
Bi1 0.0000 0.0000 0.0000 [3 per cell]

Crystal system: trigonal
Formation energy: -0.386 eV per atom
Raw total energy: -55.29 eV for the cell shown

[9]
Tb5Al2Bi2 | PBE | relaxed

Unit cell a=15.779 b=8.102 c=8.097 alpha=90.00 beta=90.00 gamma=90.00
Space group Cmce (No. 64)
Inequivalent atoms, fractional coordinates:
Tb1 0.000 0.000 0.000 [4 per cell]
Tb2 0.130 0.172 0.329 [16 per cell]
Al1 0.000 0.121 0.620 [8 per cell]
Bi1 0.207 0.000 0.000 [8 per cell]

Crystal system: orthorhombic
Formation energy: -0.601 eV per atom
Raw total energy: -175.24 eV for the cell shown

[10]
AlTc2Bi | PBE | relaxed

Unit cell a=4.180 b=4.180 c=18.384 alpha=90.00 beta=90.00 gamma=90.00
Space group I-42d (No. 122)
Inequivalent atoms, fractional coordinates:
Al1 0.000 0.000 0.000 [4 per cell]
Tc1 0.157 0.250 0.125 [8 per cell]
Bi1 0.000 0.000 0.500 [4 per cell]

Crystal system: tetragonal
Distance to the lowest polymorph of the same formula: 0.2664 eV/atom
Formation energy: 0.547 eV per atom
Raw total energy: -104.68 eV for the cell shown

[11]
Al2TcBi | PBE | relaxed

Unit cell a=7.905 b=7.905 c=5.406 alpha=90.00 beta=90.00 gamma=90.00
Space group I-42d (No. 122)
Inequivalent atoms, fractional coordinates:
Al1 0.188 0.250 0.125 [8 per cell]
Tc1 0.000 0.000 0.000 [4 per cell]
Bi1 0.000 0.000 0.500 [4 per cell]

Crystal system: tetragonal
Formation energy: 0.523 eV per atom
Raw total energy: -78.55 eV for the cell shown

[12]
Al3TcBi | PBE | relaxed

Unit cell a=4.825 b=4.825 c=4.825 alpha=90.00 beta=90.00 gamma=90.00
Space group Pm-3m (No. 221)
Inequivalent atoms, fractional coordinates:
Al1 0.000 0.000 0.500 [3 per cell]
Tc1 0.000 0.000 0.000 [1 per cell]
Bi1 0.500 0.500 0.500 [1 per cell]

Crystal system: cubic
Distance to the lowest polymorph of the same formula: 0.0000 eV/atom
Formation energy: 0.337 eV per atom
Raw total energy: -23.79 eV for the cell shown

[13]
AlTc2Bi | PBE | relaxed

Unit cell a=6.442 b=6.442 c=6.442 alpha=90.00 beta=90.00 gamma=90.00
Space group Fm-3m (No. 225)
Inequivalent atoms, fractional coordinates:
Al1 0.000 0.000 0.000 [4 per cell]
Tc1 0.250 0.250 0.250 [8 per cell]
Bi1 0.000 0.000 0.500 [4 per cell]

Crystal system: cubic
Distance to the lowest polymorph of the same formula: 0.0000 eV/atom
Formation energy: 0.280 eV per atom
Raw total energy: -108.94 eV for the cell shown

[14]
ZrAl2TcBi | PBE | relaxed

Unit cell a=4.811 b=4.811 c=5.059 alpha=90.00 beta=90.00 gamma=90.00
Space group P4/mmm (No. 123)
Inequivalent atoms, fractional coordinates:
Zr1 0.000 0.000 0.000 [1 per cell]
Al1 0.000 0.500 0.500 [2 per cell]
Tc1 0.000 0.000 0.500 [1 per cell]
Bi1 0.500 0.500 0.000 [1 per cell]

Crystal system: tetragonal
Formation energy: 0.206 eV per atom
Raw total energy: -29.25 eV for the cell shown

[15]
Al2BiTe | PBE | relaxed

Unit cell a=6.457 b=6.457 c=13.321 alpha=90.00 beta=90.00 gamma=90.00
Space group I-42d (No. 122)
Inequivalent atoms, fractional coordinates:
Al1 0.249 0.250 0.125 [8 per cell]
Bi1 0.000 0.000 0.500 [4 per cell]
Te1 0.000 0.000 0.000 [4 per cell]

Crystal system: tetragonal
Distance to the lowest polymorph of the same formula: 0.0000 eV/atom
Formation energy from raw total energies: 0.0776 eV per atom
Raw total energy: -56.79 eV for the cell shown

[16]
Al2BiTe | PBE | relaxed

Unit cell a=7.328 b=7.328 c=7.328 alpha=90.00 beta=90.00 gamma=90.00
Space group Fm-3m (No. 225)
Inequivalent atoms, fractional coordinates:
Al1 0.250 0.250 0.250 [8 per cell]
Bi1 0.000 0.000 0.000 [4 per cell]
Te1 0.000 0.000 0.500 [4 per cell]

Crystal system: cubic
Distance to the lowest polymorph of the same formula: 0.1695 eV/atom
Formation energy from raw total energies: 0.2472 eV per atom
Raw total energy: -54.08 eV for the cell shown

[17]
AlBiTe3 | PBE | relaxed

Unit cell a=5.338 b=5.338 c=5.338 alpha=90.00 beta=90.00 gamma=90.00
Space group Pm-3m (No. 221)
Inequivalent atoms, fractional coordinates:
Al1 0.000 0.000 0.000 [1 per cell]
Bi1 0.500 0.500 0.500 [1 per cell]
Te1 0.000 0.000 0.500 [3 per cell]

Crystal system: cubic
Distance to the lowest polymorph of the same formula: 0.4513 eV/atom
Formation energy from raw total energies: 0.1809 eV per atom
Raw total energy: -16.14 eV for the cell shown

[18]
AlBiTe3 | PBE | relaxed

Unit cell a=5.956 b=5.956 c=5.956 alpha=90.00 beta=90.00 gamma=90.00
Space group Pm-3m (No. 221)
Inequivalent atoms, fractional coordinates:
Al1 0.000 0.000 0.000 [1 per cell]
Bi1 0.500 0.500 0.500 [1 per cell]
Te1 0.000 0.500 0.500 [3 per cell]

Crystal system: cubic
Distance to the lowest polymorph of the same formula: 0.8566 eV/atom
Formation energy from raw total energies: 0.5862 eV per atom
Raw total energy: -14.12 eV for the cell shown

[19]
AlBiTe3 | PBE | relaxed

Unit cell a=8.403 b=4.211 c=10.994 alpha=90.00 beta=91.65 gamma=90.00
Space group P2_1/m (No. 11)
Inequivalent atoms, fractional coordinates:
Al1 0.043 0.250 0.382 [2 per cell]
Bi1 0.288 0.250 0.935 [2 per cell]
Te1 0.006 0.750 0.850 [2 per cell]
Te2 0.211 0.750 0.473 [2 per cell]
Te3 0.496 0.250 0.176 [2 per cell]

Crystal system: monoclinic
Distance to the lowest polymorph of the same formula: 0.0000 eV/atom
Formation energy from raw total energies: -0.2704 eV per atom
Raw total energy: -36.80 eV for the cell shown

[20]
Al2BiTe6 | PBE | relaxed

Unit cell a=17.327 b=13.197 c=7.785 alpha=90.00 beta=105.42 gamma=90.00
Space group C2/c (No. 15)
Inequivalent atoms, fractional coordinates:
Al1 0.248 0.064 0.251 [8 per cell]
Bi1 0.000 0.427 0.250 [4 per cell]
Te1 0.093 0.405 0.663 [8 per cell]
Te2 0.181 0.071 0.514 [8 per cell]
Te3 0.212 0.253 0.132 [8 per cell]

Crystal system: monoclinic
Formation energy from raw total energies: -0.1582 eV per atom
Raw total energy: -126.56 eV for the cell shown

[21]
AlBi2Te | PBE | relaxed

Unit cell a=7.689 b=7.689 c=7.689 alpha=90.00 beta=90.00 gamma=90.00
Space group Fm-3m (No. 225)
Inequivalent atoms, fractional coordinates:
Al1 0.000 0.000 0.000 [4 per cell]
Bi1 0.250 0.250 0.250 [8 per cell]
Te1 0.000 0.000 0.500 [4 per cell]

Crystal system: cubic
Distance to the lowest polymorph of the same formula: 0.0020 eV/atom
Formation energy from raw total energies: 0.2675 eV per atom
Raw total energy: -54.30 eV for the cell shown

[22]
Al2BiTe4 | PBE | relaxed

Unit cell a=8.445 b=8.445 c=6.853 alpha=90.00 beta=90.00 gamma=90.00
Space group I4/m (No. 87)
Inequivalent atoms, fractional coordinates:
Al1 0.000 0.500 0.250 [4 per cell]
Bi1 0.000 0.000 0.000 [2 per cell]
Te1 0.166 0.675 0.500 [8 per cell]

Crystal system: tetragonal
Formation energy from raw total energies: -0.3013 eV per atom
Raw total energy: -52.08 eV for the cell shown

[23]
AlBiTe | PBE | relaxed

Unit cell a=5.719 b=3.921 c=7.718 alpha=90.00 beta=92.83 gamma=90.00
Space group P2_1/m (No. 11)
Inequivalent atoms, fractional coordinates:
Al1 0.003 0.250 0.289 [2 per cell]
Bi1 0.267 0.750 0.057 [2 per cell]
Te1 0.280 0.250 0.595 [2 per cell]

Crystal system: monoclinic
Formation energy from raw total energies: -0.0666 eV per atom
Raw total energy: -21.93 eV for the cell shown

[24]
AlBi2Te4 | PBE | relaxed

Unit cell a=7.573 b=7.779 c=8.585 alpha=90.00 beta=106.68 gamma=90.00
Space group P2_1/m (No. 11)
Inequivalent atoms, fractional coordinates:
Al1 0.232 0.250 0.304 [2 per cell]
Bi1 0.176 0.750 0.052 [2 per cell]
Bi2 0.278 0.750 0.561 [2 per cell]
Te1 0.009 0.008 0.755 [4 per cell]
Te2 0.436 0.250 0.610 [2 per cell]
Te3 0.446 0.250 0.113 [2 per cell]

Crystal system: monoclinic
Formation energy from raw total energies: -0.1470 eV per atom
Raw total energy: -50.20 eV for the cell shown

[25]
AlBi2Te | PBE | relaxed

Unit cell a=6.515 b=6.515 c=15.112 alpha=90.00 beta=90.00 gamma=90.00
Space group I-42d (No. 122)
Inequivalent atoms, fractional coordinates:
Al1 0.000 0.000 0.000 [4 per cell]
Bi1 0.213 0.250 0.125 [8 per cell]
Te1 0.000 0.000 0.500 [4 per cell]

Crystal system: tetragonal
Distance to the lowest polymorph of the same formula: 0.0000 eV/atom
Formation energy from raw total energies: 0.2655 eV per atom
Raw total energy: -54.34 eV for the cell shown